[1]
GGA-PBE NpCdAu2, optimized geometry; DFT formation energy = -35 meV per atom; crystal system = trigonal; total magnetization = 3.65 μB/f.u.
1.0
1.493 0.862 10.355
-1.493 0.862 10.355
0.000 -1.724 10.355
Np Cd Au
1 1 2
Direct
0.000 0.000 0.000
0.833 0.833 0.833
0.248 0.248 0.248
0.419 0.419 0.419



[2]
GGA-PBE RbFeGe2, optimized geometry; DFT formation energy = 823 meV per atom; crystal system = cubic; total magnetization = 2.85 μB/f.u.
1.0
0.000 3.527 3.527
3.527 0.000 3.527
3.527 3.527 0.000
Rb Fe Ge
1 1 2
Direct
0.000 0.000 0.000
0.500 0.500 0.500
0.250 0.250 0.250
0.750 0.750 0.750



[3]
GGA-PBE Li2Ca2MgAg5, optimized geometry; DFT formation energy = -223 meV per atom; crystal system = tetragonal; total magnetization = 0.00 μB/f.u.
1.0
10.345 0.000 0.000
0.000 10.345 0.000
0.000 0.000 3.808
Li Ca Mg Ag
4 4 2 10
Direct
0.121 0.379 0.000
0.379 0.879 0.000
0.621 0.121 0.000
0.879 0.621 0.000
0.179 0.679 0.000
0.321 0.179 0.000
0.679 0.821 0.000
0.821 0.321 0.000
0.000 0.000 0.000
0.500 0.500 0.000
0.000 0.500 0.500
0.057 0.204 0.500
0.204 0.943 0.500
0.296 0.443 0.500
0.443 0.704 0.500
0.500 0.000 0.500
0.557 0.296 0.500
0.704 0.557 0.500
0.796 0.057 0.500
0.943 0.796 0.500



[4]
GGA-PBE GdAg, optimized geometry; DFT formation energy = -288 meV per atom; crystal system = orthorhombic; total magnetization = 7.34 μB/f.u.
1.0
1.887 -5.626 0.000
1.887 5.626 0.000
0.000 0.000 4.812
Gd Ag
2 2
Direct
0.145 0.855 0.750
0.855 0.145 0.250
0.422 0.578 0.750
0.578 0.422 0.250